#1
Compound: MnHg3Au
Source: the Alexandria database
Functional: PBE
Structure: optimized geometry

Unit cell a=5.211 b=5.211 c=5.211 alpha=90.00 beta=90.00 gamma=90.00
Space group Pm-3m (No. 221)
Unique sites:
1 Mn 0.000 0.000 0.000 (multiplicity 1)
2 Hg 0.000 0.000 0.500 (multiplicity 3)
3 Au 0.500 0.500 0.500 (multiplicity 1)

***

#2
Compound: MnHg3Au
Source: the Alexandria database
Functional: PBE
Structure: optimized geometry

Unit cell a=5.366 b=5.366 c=5.366 alpha=90.00 beta=90.00 gamma=90.00
Space group Pm-3m (No. 221)
Unique sites:
1 Mn 0.000 0.000 0.000 (multiplicity 1)
2 Hg 0.000 0.500 0.500 (multiplicity 3)
3 Au 0.500 0.500 0.500 (multiplicity 1)

***

Order of stability, best first: #1, #2

***

#1
Compound: HgMoAu
Source: the Alexandria database
Functional: PBE
Structure: optimized geometry

Unit cell a=2.884 b=2.884 c=13.107 alpha=90.00 beta=90.00 gamma=90.00
Space group I4mm (No. 107)
Unique sites:
1 Hg 0.000 0.000 0.000 (multiplicity 2)
2 Mo 0.000 0.000 0.668 (multiplicity 2)
3 Au 0.000 0.000 0.319 (multiplicity 2)

***

#2
Compound: HgMoAu
Source: the Alexandria database
Functional: PBE
Structure: optimized geometry

Unit cell a=6.357 b=6.357 c=6.357 alpha=90.00 beta=90.00 gamma=90.00
Space group F-43m (No. 216)
Unique sites:
1 Hg 0.000 0.000 0.000 (multiplicity 4)
2 Mo 0.250 0.250 0.250 (multiplicity 4)
3 Au 0.250 0.250 0.750 (multiplicity 4)

***

Order of stability, best first: #1, #2

***

#1
Compound: HgMoAu
Source: the Alexandria database
Functional: PBE
Structure: optimized geometry

Unit cell a=6.448 b=6.448 c=6.448 alpha=90.00 beta=90.00 gamma=90.00
Space group F-43m (No. 216)
Unique sites:
1 Hg 0.000 0.000 0.000 (multiplicity 4)
2 Mo 0.250 0.250 0.750 (multiplicity 4)
3 Au 0.000 0.000 0.500 (multiplicity 4)

***

#2
Compound: HgMoAu
Source: the Alexandria database
Functional: PBE
Structure: optimized geometry

Unit cell a=2.9431 b=2.9431 c=7.2795 alpha=90.00 beta=90.00 gamma=120.00
Space group P3m1 (No. 156)
Unique sites:
1 Hg 0.0000 0.0000 0.0000 (multiplicity 1)
2 Mo 0.6667 0.3333 0.3371 (multiplicity 1)
3 Au 0.3333 0.6667 0.6485 (multiplicity 1)

***

Order of stability, best first: #2, #1

***

#1
Compound: HgAu3N
Source: the Alexandria database
Functional: PBE
Structure: optimized geometry

Unit cell a=3.196 b=7.436 c=8.002 alpha=88.69 beta=89.58 gamma=77.66
Space group P-1 (No. 2)
Unique sites:
1 Hg 0.107 0.281 0.042 (multiplicity 2)
2 Au 0.038 0.421 0.707 (multiplicity 2)
3 Au 0.301 0.902 0.219 (multiplicity 2)
4 Au 0.330 0.840 0.635 (multiplicity 2)
5 N 0.086 0.326 0.442 (multiplicity 2)

***

#2
Compound: HgAu3N
Source: the Alexandria database
Functional: PBE
Structure: optimized geometry

Unit cell a=5.330 b=5.330 c=5.330 alpha=90.00 beta=90.00 gamma=90.00
Space group Pm-3m (No. 221)
Unique sites:
1 Hg 0.000 0.000 0.000 (multiplicity 1)
2 Au 0.000 0.000 0.500 (multiplicity 3)
3 N 0.500 0.500 0.500 (multiplicity 1)

***

Order of stability, best first: #1, #2

***

#1
Compound: HgAuSN2
Source: the Alexandria database
Functional: PBE
Structure: optimized geometry

Unit cell a=3.914 b=3.914 c=7.768 alpha=90.00 beta=90.00 gamma=90.00
Space group P4/mmm (No. 123)
Unique sites:
1 Hg 0.000 0.000 0.000 (multiplicity 1)
2 Au 0.500 0.500 0.500 (multiplicity 1)
3 S 0.500 0.500 0.000 (multiplicity 1)
4 N 0.000 0.500 0.500 (multiplicity 2)

***

#2
Compound: HgAuSN2
Source: the Alexandria database
Functional: PBE
Structure: optimized geometry

Unit cell a=4.140 b=4.140 c=5.910 alpha=90.00 beta=90.00 gamma=90.00
Space group P4/mmm (No. 123)
Unique sites:
1 Hg 0.000 0.000 0.000 (multiplicity 1)
2 Au 0.500 0.500 0.500 (multiplicity 1)
3 S 0.000 0.000 0.500 (multiplicity 1)
4 N 0.000 0.500 0.000 (multiplicity 2)

***

Order of stability, best first: #1, #2

***

#1
Compound: HgAuS2N
Source: the Alexandria database
Functional: PBE
Structure: optimized geometry

Unit cell a=5.143 b=5.143 c=4.141 alpha=90.00 beta=90.00 gamma=90.00
Space group P4/mmm (No. 123)
Unique sites:
1 Hg 0.000 0.000 0.000 (multiplicity 1)
2 Au 0.500 0.500 0.500 (multiplicity 1)
3 S 0.000 0.500 0.000 (multiplicity 2)
4 N 0.000 0.000 0.500 (multiplicity 1)

***

#2
Compound: HgAuS2N
Source: the Alexandria database
Functional: PBE
Structure: optimized geometry

Unit cell a=5.132 b=5.132 c=3.780 alpha=90.00 beta=90.00 gamma=90.00
Space group P4/mmm (No. 123)
Unique sites:
1 Hg 0.000 0.000 0.000 (multiplicity 1)
2 Au 0.500 0.500 0.500 (multiplicity 1)
3 S 0.000 0.500 0.500 (multiplicity 2)
4 N 0.500 0.500 0.000 (multiplicity 1)

***

Order of stability, best first: #2, #1

***

#1
Compound: HgAuSe2N
Source: the Alexandria database
Functional: PBE
Structure: optimized geometry

Unit cell a=5.407 b=5.407 c=4.090 alpha=90.00 beta=90.00 gamma=90.00
Space group P4/mmm (No. 123)
Unique sites:
1 Hg 0.000 0.000 0.000 (multiplicity 1)
2 Au 0.500 0.500 0.500 (multiplicity 1)
3 Se 0.000 0.500 0.000 (multiplicity 2)
4 N 0.000 0.000 0.500 (multiplicity 1)

***

#2
Compound: HgAuSe2N
Source: the Alexandria database
Functional: PBE
Structure: optimized geometry

Unit cell a=5.437 b=5.437 c=3.760 alpha=90.00 beta=90.00 gamma=90.00
Space group P4/mmm (No. 123)
Unique sites:
1 Hg 0.000 0.000 0.000 (multiplicity 1)
2 Au 0.500 0.500 0.500 (multiplicity 1)
3 Se 0.000 0.500 0.500 (multiplicity 2)
4 N 0.500 0.500 0.000 (multiplicity 1)

***

Order of stability, best first: #2, #1

***

#1
Compound: HgTeAuN2
Source: the Alexandria database
Functional: PBE
Structure: optimized geometry

Unit cell a=4.162 b=4.162 c=6.374 alpha=90.00 beta=90.00 gamma=90.00
Space group P4/mmm (No. 123)
Unique sites:
1 Hg 0.000 0.000 0.000 (multiplicity 1)
2 Te 0.500 0.500 0.000 (multiplicity 1)
3 Au 0.500 0.500 0.500 (multiplicity 1)
4 N 0.000 0.500 0.500 (multiplicity 2)

***

#2
Compound: HgTeAuN2
Source: the Alexandria database
Functional: PBE
Structure: optimized geometry

Unit cell a=4.202 b=4.202 c=6.662 alpha=90.00 beta=90.00 gamma=90.00
Space group P4/mmm (No. 123)
Unique sites:
1 Hg 0.000 0.000 0.000 (multiplicity 1)
2 Te 0.000 0.000 0.500 (multiplicity 1)
3 Au 0.500 0.500 0.500 (multiplicity 1)
4 N 0.000 0.500 0.000 (multiplicity 2)

***

Order of stability, best first: #1, #2

***

#1
Compound: Na6Hg2Au
Source: the Alexandria database
Functional: PBE
Structure: optimized geometry

Unit cell a=16.050 b=7.328 c=5.065 alpha=90.00 beta=108.18 gamma=90.00
Space group C2/m (No. 12)
Unique sites:
1 Na 0.000 0.233 0.000 (multiplicity 4)
2 Na 0.161 0.241 0.660 (multiplicity 8)
3 Hg 0.165 0.500 0.163 (multiplicity 4)
4 Au 0.000 0.000 0.500 (multiplicity 2)

***

#2
Compound: Na6Hg2Au
Source: the Alexandria database
Functional: PBE
Structure: optimized geometry

Unit cell a=5.3133 b=5.3133 c=30.9625 alpha=90.00 beta=90.00 gamma=120.00
Space group R-3m (No. 166, hexagonal axes)
Unique sites:
1 Na 0.0000 0.0000 0.0815 (multiplicity 6)
2 Na 0.0000 0.0000 0.1956 (multiplicity 6)
3 Na 0.0000 0.0000 0.3077 (multiplicity 6)
4 Hg 0.0000 0.0000 0.4086 (multiplicity 6)
5 Au 0.0000 0.0000 0.5000 (multiplicity 3)

***

Order of stability, best first: #2, #1

***

#1
Compound: Na4Hg3Au
Source: the Alexandria database
Functional: PBE
Structure: optimized geometry

Unit cell a=5.2153 b=5.2153 c=25.4073 alpha=90.00 beta=90.00 gamma=120.00
Space group R-3m (No. 166, hexagonal axes)
Unique sites:
1 Na 0.0000 0.0000 0.1200 (multiplicity 6)
2 Na 0.0000 0.0000 0.3703 (multiplicity 6)
3 Hg 0.0000 0.0000 0.2473 (multiplicity 6)
4 Hg 0.0000 0.0000 0.5000 (multiplicity 3)
5 Au 0.0000 0.0000 0.0000 (multiplicity 3)

***

#2
Compound: Na4Hg3Au
Source: the Alexandria database
Functional: PBE
Structure: optimized geometry

Unit cell a=3.881 b=4.848 c=11.389 alpha=90.00 beta=90.00 gamma=90.00
Space group Pmm2 (No. 25)
Unique sites:
1 Na 0.000 0.000 0.000 (multiplicity 1)
2 Na 0.000 0.500 0.282 (multiplicity 1)
3 Na 0.500 0.000 0.474 (multiplicity 1)
4 Na 0.500 0.500 0.792 (multiplicity 1)
5 Hg 0.000 0.000 0.717 (multiplicity 1)
6 Hg 0.000 0.500 0.560 (multiplicity 1)
7 Hg 0.500 0.500 0.064 (multiplicity 1)
8 Au 0.500 0.000 0.210 (multiplicity 1)

***

Order of stability, best first: #1, #2

***

#1
Compound: Na3Hg5Au
Source: the Alexandria database
Functional: PBE
Structure: optimized geometry

Unit cell a=9.051 b=9.051 c=12.025 alpha=90.00 beta=90.00 gamma=90.00
Space group I4/mcm (No. 140)
Unique sites:
1 Na 0.000 0.000 0.250 (multiplicity 4)
2 Na 0.116 0.384 0.000 (multiplicity 8)
3 Hg 0.000 0.000 0.000 (multiplicity 4)
4 Hg 0.193 0.307 0.361 (multiplicity 16)
5 Au 0.000 0.500 0.250 (multiplicity 4)

***

#2
Compound: Na3Hg5Au
Source: the Alexandria database
Functional: PBE
Structure: optimized geometry

Unit cell a=8.0844 b=8.0844 c=4.0027 alpha=90.00 beta=90.00 gamma=120.00
Space group P-62m (No. 189)
Unique sites:
1 Na 0.0000 0.3844 0.0000 (multiplicity 3)
2 Hg 0.0000 0.7340 0.5000 (multiplicity 3)
3 Hg 0.3333 0.6667 0.5000 (multiplicity 2)
4 Au 0.0000 0.0000 0.0000 (multiplicity 1)

***

Order of stability, best first: #2, #1

***

#1
Compound: Na6Hg3Au
Source: the Alexandria database
Functional: PBE
Structure: optimized geometry

Unit cell a=12.030 b=3.863 c=13.698 alpha=90.00 beta=115.88 gamma=90.00
Space group P2_1/m (No. 11)
Unique sites:
1 Na 0.092 0.250 0.305 (multiplicity 2)
2 Na 0.131 0.750 0.545 (multiplicity 2)
3 Na 0.207 0.750 0.889 (multiplicity 2)
4 Na 0.241 0.250 0.130 (multiplicity 2)
5 Na 0.387 0.750 0.370 (multiplicity 2)
6 Na 0.389 0.250 0.772 (multiplicity 2)
7 Hg 0.015 0.750 0.099 (multiplicity 2)
8 Hg 0.329 0.250 0.526 (multiplicity 2)
9 Hg 0.429 0.250 0.037 (multiplicity 2)
10 Au 0.101 0.250 0.698 (multiplicity 2)

***

#2
Compound: Na6Hg3Au
Source: the Alexandria database
Functional: PBE
Structure: optimized geometry

Unit cell a=9.159 b=5.248 c=11.421 alpha=90.00 beta=106.42 gamma=90.00
Space group P2_1/m (No. 11)
Unique sites:
1 Na 0.031 0.250 0.416 (multiplicity 2)
2 Na 0.157 0.750 0.169 (multiplicity 2)
3 Na 0.276 0.250 0.001 (multiplicity 2)
4 Na 0.353 0.750 0.824 (multiplicity 2)
5 Na 0.358 0.250 0.315 (multiplicity 2)
6 Na 0.410 0.250 0.618 (multiplicity 2)
7 Hg 0.032 0.750 0.876 (multiplicity 2)
8 Hg 0.122 0.250 0.720 (multiplicity 2)
9 Hg 0.267 0.750 0.474 (multiplicity 2)
10 Au 0.454 0.750 0.114 (multiplicity 2)

***

Order of stability, best first: #2, #1